1.
Compound: CsBF3
Source: Alexandria via LeMat-Bulk
Functional: PBE-GGA
Structure: relaxed

Density of states at the Fermi level = 0.000 states/eV/atom

Structure (CIF):
```
data_CsBF3
_chemical_formula_sum 'Cs4 B4 F12'
_cell_length_a 5.8200
_cell_length_b 5.8200
_cell_length_c 9.5295
_cell_angle_alpha 90.00
_cell_angle_beta 90.00
_cell_angle_gamma 90.00
_symmetry_space_group_name_H-M 'I 4/m m m'
_symmetry_Int_Tables_number 139
_symmetry_space_group_name_Hall '-I 4 2'
loop_
_atom_site_label
_atom_site_fract_x
_atom_site_fract_y
_atom_site_fract_z
_atom_site_occupancy
Cs1 0.0000 0.5000 0.2500 1
B1 0.0000 0.0000 0.0000 1
B2 0.0000 0.0000 0.5000 1
F1 0.0000 0.0000 0.1466 1
F2 0.2319 0.2319 0.0000 1
```


2.
Compound: CsBF3
Source: Alexandria via LeMat-Bulk
Functional: PBE-GGA
Structure: relaxed

Density of states at the Fermi level = 0.215 states/eV/atom

Structure (CIF):
```
data_CsBF3
_chemical_formula_sum 'Cs1 B1 F3'
_cell_length_a 4.8796
_cell_length_b 4.8796
_cell_length_c 4.8796
_cell_angle_alpha 90.00
_cell_angle_beta 90.00
_cell_angle_gamma 90.00
_symmetry_space_group_name_H-M 'P m -3 m'
_symmetry_Int_Tables_number 221
_symmetry_space_group_name_Hall '-P 4 2 3'
loop_
_atom_site_label
_atom_site_fract_x
_atom_site_fract_y
_atom_site_fract_z
_atom_site_occupancy
Cs1 0.0000 0.0000 0.0000 1
B1 0.5000 0.5000 0.5000 1
F1 0.0000 0.0000 0.5000 1
```


Ranked by calculated energy, most stable first: 1, 2.


1.
Compound: CsHfFeB2
Source: Alexandria via LeMat-Bulk
Functional: PBE-GGA
Structure: relaxed

Density of states at the Fermi level = 0.375 states/eV/atom

Structure (CIF):
```
data_CsHfFeB2
_chemical_formula_sum 'Cs1 Hf1 Fe1 B2'
_cell_length_a 4.1897
_cell_length_b 4.1897
_cell_length_c 4.7683
_cell_angle_alpha 90.00
_cell_angle_beta 90.00
_cell_angle_gamma 90.00
_symmetry_space_group_name_H-M 'P 4/m m m'
_symmetry_Int_Tables_number 123
_symmetry_space_group_name_Hall '-P 4 2'
loop_
_atom_site_label
_atom_site_fract_x
_atom_site_fract_y
_atom_site_fract_z
_atom_site_occupancy
Cs1 0.0000 0.0000 0.0000 1
Hf1 0.5000 0.5000 0.0000 1
Fe1 0.5000 0.5000 0.5000 1
B1 0.0000 0.5000 0.5000 1
```


2.
Compound: CsHfFeB2
Source: Alexandria via LeMat-Bulk
Functional: PBE-GGA
Structure: relaxed

Density of states at the Fermi level = 0.783 states/eV/atom

Structure (CIF):
```
data_CsHfFeB2
_chemical_formula_sum 'Cs1 Hf1 Fe1 B2'
_cell_length_a 4.0903
_cell_length_b 4.0903
_cell_length_c 4.9986
_cell_angle_alpha 90.00
_cell_angle_beta 90.00
_cell_angle_gamma 90.00
_symmetry_space_group_name_H-M 'P 4/m m m'
_symmetry_Int_Tables_number 123
_symmetry_space_group_name_Hall '-P 4 2'
loop_
_atom_site_label
_atom_site_fract_x
_atom_site_fract_y
_atom_site_fract_z
_atom_site_occupancy
Cs1 0.0000 0.0000 0.0000 1
Hf1 0.5000 0.5000 0.0000 1
Fe1 0.0000 0.0000 0.5000 1
B1 0.0000 0.5000 0.5000 1
```


Ranked by calculated energy, most stable first: 1, 2.


1.
Compound: CsGa3B
Source: Alexandria via LeMat-Bulk
Functional: PBE-GGA
Structure: relaxed

Density of states at the Fermi level = 0.940 states/eV/atom

Structure (CIF):
```
data_CsGa3B
_chemical_formula_sum 'Cs1 Ga3 B1'
_cell_length_a 4.9137
_cell_length_b 4.9137
_cell_length_c 4.9137
_cell_angle_alpha 90.00
_cell_angle_beta 90.00
_cell_angle_gamma 90.00
_symmetry_space_group_name_H-M 'P m -3 m'
_symmetry_Int_Tables_number 221
_symmetry_space_group_name_Hall '-P 4 2 3'
loop_
_atom_site_label
_atom_site_fract_x
_atom_site_fract_y
_atom_site_fract_z
_atom_site_occupancy
Cs1 0.0000 0.0000 0.0000 1
Ga1 0.0000 0.5000 0.5000 1
B1 0.5000 0.5000 0.5000 1
```


2.
Compound: CsGa3B
Source: Alexandria via LeMat-Bulk
Functional: PBE-GGA
Structure: relaxed

Density of states at the Fermi level = 0.972 states/eV/atom

Structure (CIF):
```
data_CsGa3B
_chemical_formula_sum 'Cs1 Ga3 B1'
_cell_length_a 6.1436
_cell_length_b 6.1436
_cell_length_c 6.1436
_cell_angle_alpha 90.00
_cell_angle_beta 90.00
_cell_angle_gamma 90.00
_symmetry_space_group_name_H-M 'P m -3 m'
_symmetry_Int_Tables_number 221
_symmetry_space_group_name_Hall '-P 4 2 3'
loop_
_atom_site_label
_atom_site_fract_x
_atom_site_fract_y
_atom_site_fract_z
_atom_site_occupancy
Cs1 0.0000 0.0000 0.0000 1
Ga1 0.0000 0.0000 0.5000 1
B1 0.5000 0.5000 0.5000 1
```


Ranked by calculated energy, most stable first: 1, 2.


1.
Compound: CsGe3B
Source: Alexandria via LeMat-Bulk
Functional: PBE-GGA
Structure: relaxed

Density of states at the Fermi level = 0.721 states/eV/atom

Structure (CIF):
```
data_CsGe3B
_chemical_formula_sum 'Cs1 Ge3 B1'
_cell_length_a 5.7772
_cell_length_b 5.7772
_cell_length_c 5.7772
_cell_angle_alpha 90.00
_cell_angle_beta 90.00
_cell_angle_gamma 90.00
_symmetry_space_group_name_H-M 'P m -3 m'
_symmetry_Int_Tables_number 221
_symmetry_space_group_name_Hall '-P 4 2 3'
loop_
_atom_site_label
_atom_site_fract_x
_atom_site_fract_y
_atom_site_fract_z
_atom_site_occupancy
Cs1 0.0000 0.0000 0.0000 1
Ge1 0.0000 0.0000 0.5000 1
B1 0.5000 0.5000 0.5000 1
```


2.
Compound: CsGe3B
Source: Alexandria via LeMat-Bulk
Functional: PBE-GGA
Structure: relaxed

Density of states at the Fermi level = 0.439 states/eV/atom

Structure (CIF):
```
data_CsGe3B
_chemical_formula_sum 'Cs1 Ge3 B1'
_cell_length_a 4.8463
_cell_length_b 4.8463
_cell_length_c 4.8463
_cell_angle_alpha 90.00
_cell_angle_beta 90.00
_cell_angle_gamma 90.00
_symmetry_space_group_name_H-M 'P m -3 m'
_symmetry_Int_Tables_number 221
_symmetry_space_group_name_Hall '-P 4 2 3'
loop_
_atom_site_label
_atom_site_fract_x
_atom_site_fract_y
_atom_site_fract_z
_atom_site_occupancy
Cs1 0.0000 0.0000 0.0000 1
Ge1 0.0000 0.5000 0.5000 1
B1 0.5000 0.5000 0.5000 1
```


Ranked by calculated energy, most stable first: 2, 1.


1.
Compound: CsLiGe2B
Source: Alexandria via LeMat-Bulk
Functional: PBE-GGA
Structure: relaxed

Density of states at the Fermi level = 0.744 states/eV/atom

Structure (CIF):
```
data_CsLiGe2B
_chemical_formula_sum 'Cs1 Li1 Ge2 B1'
_cell_length_a 4.9695
_cell_length_b 4.9695
_cell_length_c 4.8127
_cell_angle_alpha 90.00
_cell_angle_beta 90.00
_cell_angle_gamma 90.00
_symmetry_space_group_name_H-M 'P 4/m m m'
_symmetry_Int_Tables_number 123
_symmetry_space_group_name_Hall '-P 4 2'
loop_
_atom_site_label
_atom_site_fract_x
_atom_site_fract_y
_atom_site_fract_z
_atom_site_occupancy
Cs1 0.0000 0.0000 0.0000 1
Li1 0.5000 0.5000 0.5000 1
Ge1 0.0000 0.5000 0.5000 1
B1 0.5000 0.5000 0.0000 1
```


2.
Compound: CsLiGe2B
Source: Alexandria via LeMat-Bulk
Functional: PBE-GGA
Structure: relaxed

Density of states at the Fermi level = 0.986 states/eV/atom

Structure (CIF):
```
data_CsLiGe2B
_chemical_formula_sum 'Cs1 Li1 Ge2 B1'
_cell_length_a 5.8808
_cell_length_b 5.8808
_cell_length_c 5.0779
_cell_angle_alpha 90.00
_cell_angle_beta 90.00
_cell_angle_gamma 90.00
_symmetry_space_group_name_H-M 'P 4/m m m'
_symmetry_Int_Tables_number 123
_symmetry_space_group_name_Hall '-P 4 2'
loop_
_atom_site_label
_atom_site_fract_x
_atom_site_fract_y
_atom_site_fract_z
_atom_site_occupancy
Cs1 0.0000 0.0000 0.0000 1
Li1 0.5000 0.5000 0.5000 1
Ge1 0.0000 0.5000 0.0000 1
B1 0.0000 0.0000 0.5000 1
```


Ranked by calculated energy, most stable first: 1, 2.


1.
Compound: CsGeBRu2
Source: Alexandria via LeMat-Bulk
Functional: PBE-GGA
Structure: relaxed

Density of states at the Fermi level = 1.062 states/eV/atom

Structure (CIF):
```
data_CsGeBRu2
_chemical_formula_sum 'Cs1 Ge1 B1 Ru2'
_cell_length_a 5.0154
_cell_length_b 5.0154
_cell_length_c 4.6824
_cell_angle_alpha 90.00
_cell_angle_beta 90.00
_cell_angle_gamma 90.00
_symmetry_space_group_name_H-M 'P 4/m m m'
_symmetry_Int_Tables_number 123
_symmetry_space_group_name_Hall '-P 4 2'
loop_
_atom_site_label
_atom_site_fract_x
_atom_site_fract_y
_atom_site_fract_z
_atom_site_occupancy
Cs1 0.0000 0.0000 0.0000 1
Ge1 0.5000 0.5000 0.5000 1
B1 0.0000 0.0000 0.5000 1
Ru1 0.0000 0.5000 0.0000 1
```


2.
Compound: CsGeBRu2
Source: Alexandria via LeMat-Bulk
Functional: PBE-GGA
Structure: relaxed

Density of states at the Fermi level = 1.444 states/eV/atom

Structure (CIF):
```
data_CsGeBRu2
_chemical_formula_sum 'Cs1 Ge1 B1 Ru2'
_cell_length_a 4.8653
_cell_length_b 4.8653
_cell_length_c 4.1406
_cell_angle_alpha 90.00
_cell_angle_beta 90.00
_cell_angle_gamma 90.00
_symmetry_space_group_name_H-M 'P 4/m m m'
_symmetry_Int_Tables_number 123
_symmetry_space_group_name_Hall '-P 4 2'
loop_
_atom_site_label
_atom_site_fract_x
_atom_site_fract_y
_atom_site_fract_z
_atom_site_occupancy
Cs1 0.0000 0.0000 0.0000 1
Ge1 0.5000 0.5000 0.5000 1
B1 0.5000 0.5000 0.0000 1
Ru1 0.0000 0.5000 0.5000 1
```


Ranked by calculated energy, most stable first: 2, 1.